a:
VASP calculation (PBE-GGA) on a relaxed structure of CaLa3Os.

density of states at the Fermi level	15.488	states/eV per cell
total moment	0.00	Bohr magnetons per cell
volume	32.8	Å³ per atom

abc: 6.684 12.261 8.006
angles: 90.00 90.00 90.00
Element x y z (fractional)
La 0.459 0.622 0.630
Ca 0.000 0.000 0.500
La 0.541 0.378 0.370
La 0.959 0.622 0.870
Ca 0.500 0.000 0.000
La 0.459 0.878 0.630
La 0.786 0.750 0.271
Ca 0.000 0.500 0.500
Os 0.599 0.750 0.938
La 0.959 0.878 0.870
La 0.041 0.122 0.130
La 0.214 0.250 0.729
La 0.714 0.250 0.771
La 0.041 0.378 0.130
Os 0.901 0.250 0.438
Os 0.401 0.250 0.062
La 0.541 0.122 0.370
La 0.286 0.750 0.229
Os 0.099 0.750 0.562
Ca 0.500 0.500 0.000

=====

b:
VASP calculation (PBE-GGA) on a relaxed structure of CaLa3Os.

density of states at the Fermi level	7.032	states/eV per cell
total moment	0.00	Bohr magnetons per cell
volume	37.7	Å³ per atom

abc: 9.243 9.243 9.243
angles: 46.34 46.34 46.34
Element x y z (fractional)
Os 0.686 0.686 0.686
La 0.702 0.358 0.112
La 0.642 0.888 0.298
Ca 0.183 0.183 0.183
Os 0.314 0.314 0.314
La 0.358 0.112 0.702
La 0.888 0.298 0.642
Ca 0.817 0.817 0.817
La 0.298 0.642 0.888
La 0.112 0.702 0.358

=====

Stability check: which of them is least stable? a.

=====

a:
VASP calculation (PBE-GGA) on a relaxed structure of CaLa3Os.

density of states at the Fermi level	10.299	states/eV per cell
total moment	0.00	Bohr magnetons per cell
volume	35.0	Å³ per atom

abc: 29.950 13.387 13.387
angles: 162.84 164.65 15.35
Element x y z (fractional)
La 0.061 0.518 0.482
Ca 0.233 0.952 0.048
Os 0.381 0.988 0.012
La 0.939 0.482 0.518
Ca 0.767 0.048 0.952
La 0.368 0.576 0.424
La 0.707 0.487 0.513
La 0.632 0.424 0.576
La 0.293 0.513 0.487
Os 0.619 0.012 0.988

=====

b:
VASP calculation (PBE-GGA) on a relaxed structure of CaLa3Os.

density of states at the Fermi level	13.389	states/eV per cell
total moment	0.00	Bohr magnetons per cell
volume	37.4	Å³ per atom

abc: 20.429 7.114 7.114
angles: 131.82 142.97 37.03
Element x y z (fractional)
La 0.938 0.429 0.571
La 0.817 0.300 0.700
La 0.062 0.571 0.429
Os 0.088 0.027 0.973
La 0.183 0.700 0.300
Ca 0.435 0.945 0.055
La 0.677 0.197 0.803
La 0.323 0.803 0.197
Os 0.912 0.973 0.027
Ca 0.565 0.055 0.945

=====

c:
VASP calculation (PBE-GGA) on a relaxed structure of CaLa3Os.

density of states at the Fermi level	11.980	states/eV per cell
total moment	0.00	Bohr magnetons per cell
volume	34.6	Å³ per atom

abc: 6.319 7.280 7.574
angles: 90.00 82.91 90.00
Element x y z (fractional)
La 0.879 0.106 0.586
La 0.322 0.399 0.744
Os 0.109 0.685 0.546
La 0.252 0.405 0.262
Ca 0.775 0.155 0.098
La 0.278 0.899 0.256
Ca 0.825 0.655 0.902
La 0.721 0.606 0.414
La 0.348 0.904 0.738
Os 0.491 0.185 0.454

=====

d:
VASP calculation (PBE-GGA) on a relaxed structure of CaLa3Os.

density of states at the Fermi level	8.373	states/eV per cell
total moment	3.07	Bohr magnetons per cell
volume	35.6	Å³ per atom

abc: 4.704 4.704 18.587
angles: 90.00 90.00 120.00
Site moments in Bohr magnetons follow the coordinates.
Element x y z (fractional)
Ca 0.667 0.333 0.250  0.23
La 0.333 0.667 0.934  0.03
La 0.667 0.333 0.434  0.03
Os 0.000 0.000 0.000  0.01
La 0.667 0.333 0.066  0.03
La 0.000 0.000 0.750  0.47
La 0.333 0.667 0.566  0.03
La 0.000 0.000 0.250  0.47
Os 0.000 0.000 0.500  0.01
Ca 0.333 0.667 0.750  0.23

=====

Stability check: which of them is least stable? d.

=====

a:
VASP calculation (PBE-GGA) on a relaxed structure of CaLa3Os.

density of states at the Fermi level	8.488	states/eV per cell
total moment	0.00	Bohr magnetons per cell
volume	34.9	Å³ per atom

abc: 7.685 7.686 7.726
angles: 71.61 71.62 111.99
Element x y z (fractional)
Os 0.020 0.444 0.506
La 0.085 0.189 0.795
Ca 0.693 0.890 0.692
La 0.642 0.341 0.790
La 0.536 0.739 0.295
La 0.146 0.743 0.699
Os 0.790 0.674 0.006
La 0.089 0.800 0.199
Ca 0.237 0.347 0.192
La 0.688 0.296 0.290

=====

b:
VASP calculation (PBE-GGA) on a relaxed structure of CaLa3Os.

density of states at the Fermi level	12.712	states/eV per cell
total moment	0.00	Bohr magnetons per cell
volume	36.3	Å³ per atom

abc: 6.999 7.901 7.125
angles: 86.74 100.40 110.43
Element x y z (fractional)
Os 0.490 0.546 0.661
Os 0.510 0.854 0.139
La 0.246 0.233 0.788
La 0.265 0.516 0.294
La 0.754 0.167 0.012
Ca 0.253 0.020 0.286
La 0.735 0.884 0.506
La 0.743 0.657 0.017
La 0.257 0.743 0.783
Ca 0.747 0.380 0.514

=====

c:
VASP calculation (PBE-GGA) on a relaxed structure of CaLa3Os.

density of states at the Fermi level	10.314	states/eV per cell
total moment	0.00	Bohr magnetons per cell
volume	38.5	Å³ per atom

abc: 4.392 4.392 9.970
angles: 90.00 90.00 90.00
Element x y z (fractional)
Ca 0.000 0.000 0.411
La 0.000 0.000 0.800
La 0.000 0.500 0.086
Os 0.500 0.500 0.881
La 0.500 0.000 0.086

=====

d:
VASP calculation (PBE-GGA) on a relaxed structure of CaLa3Os.

density of states at the Fermi level	22.609	states/eV per cell
total moment	0.00	Bohr magnetons per cell
volume	34.3	Å³ per atom

abc: 13.094 9.750 9.750
angles: 86.90 124.98 55.02
Element x y z (fractional)
Ca 0.250 0.801 0.301
Ca 0.750 0.801 0.301
La 0.207 0.631 0.620
La 0.010 0.692 0.808
La 0.793 0.369 0.380
La 0.990 0.308 0.192
La 0.510 0.692 0.808
La 0.793 0.120 0.131
La 0.707 0.880 0.869
Ca 0.750 0.199 0.699
La 0.707 0.631 0.620
La 0.293 0.369 0.380
Os 0.878 0.001 0.499
Os 0.378 0.001 0.499
La 0.490 0.308 0.192
Os 0.122 0.999 0.501
La 0.207 0.880 0.869
Os 0.622 0.999 0.501
La 0.293 0.120 0.131
Ca 0.250 0.199 0.699

=====

Stability check: which of them is least stable? c.

=====

a:
VASP calculation (PBE-GGA) on a relaxed structure of CaLa3Os.

density of states at the Fermi level	5.459	states/eV per cell
total moment	0.00	Bohr magnetons per cell
volume	36.3	Å³ per atom

abc: 6.901 7.748 7.966
angles: 75.32 89.07 116.99
Element x y z (fractional)
La 0.316 0.001 0.679
La 0.736 0.491 0.810
Ca 0.228 0.498 0.050
Os 0.777 0.266 0.602
La 0.738 0.504 0.288
La 0.819 0.000 0.427
Ca 0.814 0.004 0.924
Os 0.024 0.743 0.485
La 0.311 0.996 0.184
La 0.237 0.497 0.549

=====

b:
VASP calculation (PBE-GGA) on a relaxed structure of CaLa3Os.

density of states at the Fermi level	13.117	states/eV per cell
total moment	0.00	Bohr magnetons per cell
volume	43.2	Å³ per atom

abc: 5.813 5.813 13.439
angles: 77.51 77.51 90.00
Element x y z (fractional)
Os 0.702 0.202 0.595
Ca 0.000 0.000 0.000
La 0.289 0.289 0.421
Ca 0.250 0.750 0.500
La 0.100 0.862 0.276
La 0.625 0.862 0.276
La 0.138 0.900 0.724
La 0.138 0.375 0.724
La 0.711 0.711 0.579
Os 0.798 0.298 0.405

=====

Stability check: which of them is least stable? b.